YCuIrO6 after structural relaxation. Source: the Alexandria database, functional GGA-PBE.

a = 5.4074 Å, b = 5.4074 Å, c = 8.5129 Å
α = 90.00°, β = 90.00°, γ = 120.00°
Space group P-31c (No. 163)
Symmetry-distinct sites (fractional):
Y (0.3333, 0.6667, 0.2500) x2
Cu (0.0000, 0.0000, 0.0000) x2
Ir (0.3333, 0.6667, 0.7500) x2
O (0.0436, 0.3665, 0.6217) x12

Calculated values
calculated volume	215.57	Å³ per cell
crystal system	trigonal
formation energy from raw total energies	-1.21	eV/atom
DOS(E_F)	5.87	states/eV/f.u.

---

Y2CuIrO after structural relaxation. Source: the Alexandria database, functional GGA-PBE.

a = 5.206 Å, b = 5.206 Å, c = 4.344 Å
α = 90.00°, β = 90.00°, γ = 90.00°
Space group P4/mmm (No. 123)
Symmetry-distinct sites (fractional):
Y (0.000, 0.500, 0.000) x2
Cu (0.000, 0.000, 0.000) x1
Ir (0.000, 0.000, 0.500) x1
O (0.500, 0.500, 0.500) x1

Calculated values
calculated volume	117.75	Å³ per cell
crystal system	tetragonal
formation energy from raw total energies	0.24	eV/atom
DOS(E_F)	1.88	states/eV/f.u.

---

Y2CuIrO6 after structural relaxation. Source: the Alexandria database, functional GGA-PBE.

a = 5.5484 Å, b = 5.5484 Å, c = 14.1669 Å
α = 90.00°, β = 90.00°, γ = 120.00°
Space group R3 (No. 146, hexagonal axes)
Symmetry-distinct sites (fractional):
Y (0.0000, 0.0000, 0.0000) x3
Y (0.0000, 0.0000, 0.4942) x3
Cu (0.0000, 0.0000, 0.2233) x3
Ir (0.0000, 0.0000, 0.7083) x3
O (0.0566, 0.3392, 0.7810) x9
O (0.0647, 0.7019, 0.2847) x9

Calculated values
calculated volume	377.71	Å³ per cell
crystal system	trigonal
formation energy from raw total energies	-2.01	eV/atom
DOS(E_F)	6.65	states/eV/f.u.

---

ZnCuIrO4 after structural relaxation. Source: the Alexandria database, functional GGA-PBE.

a = 5.741 Å, b = 6.197 Å, c = 9.091 Å
α = 90.00°, β = 90.00°, γ = 90.00°
Space group Imma (No. 74)
Symmetry-distinct sites (fractional):
Zn (0.000, 0.250, 0.164) x4
Cu (0.250, 0.250, 0.750) x4
Ir (0.000, 0.000, 0.500) x4
O (0.000, 0.036, 0.721) x8
O (0.224, 0.250, 0.470) x8

Calculated values
calculated volume	323.45	Å³ per cell
crystal system	orthorhombic
formation energy from raw total energies	-0.82	eV/atom
DOS(E_F)	4.81	states/eV/f.u.